[1]
MgSc2Mo | PBE | relaxed

Cell: 2.924 2.924 9.746 Å, 90.00 90.00 101.23°
Sites, in units of the cell vectors:
Mg: 0.000 0.000 0.522
Mo: 0.500 0.500 0.750
Sc: 0.000 0.000 0.974
Sc: 0.500 0.500 0.254

The calculation puts the total energy at -0.2228 Ha/atom. The volume comes out at 20.436 Å³/atom. Its formation energy is 0.210 eV per atom.


[2]
Mg2ScMo | PBE | relaxed

Cell: 5.044 2.875 5.457 Å, 80.34 90.00 90.00°
Sites, in units of the cell vectors:
Mg: 0.000 0.029 0.016
Mg: 0.000 0.471 0.484
Mo: 0.500 0.250 0.250
Sc: 0.500 0.750 0.750

The calculation puts the total energy at -0.1784 Ha/atom. The volume comes out at 19.503 Å³/atom. Its formation energy is 0.235 eV per atom.


[3]
Mg2ScMo | PBE | relaxed

Cell: 5.755 5.755 2.915 Å, 80.75 80.75 121.35°
Sites, in units of the cell vectors:
Mg: 0.000 0.000 0.000
Mg: 0.500 0.500 0.000
Mo: 0.500 0.000 0.500
Sc: 0.000 0.500 0.500

The calculation puts the total energy at -0.1776 Ha/atom. The volume comes out at 19.466 Å³/atom. Its formation energy is 0.255 eV per atom.


[4]
Mg2ScMo | PBE | relaxed

Cell: 5.404 5.404 5.273 Å, 70.90 70.90 32.86°
Sites, in units of the cell vectors:
Mg: 0.007 0.007 0.941
Mg: 0.764 0.764 0.797
Mo: 0.494 0.494 0.440
Sc: 0.236 0.236 0.321

The calculation puts the total energy at -0.1789 Ha/atom. The volume comes out at 19.639 Å³/atom. Its formation energy is 0.220 eV per atom.